# 1
The following is a PBE calculation of a relaxed structure of K5BeCl8, from the Alexandria database.

The structure belongs to space group I-4 (No. 82); the cell edges are 9.1485, 9.1485 and 11.2155 Å and the angles 90.00°, 90.00° and 90.00°. The distinct sites, in fractional coordinates, are K at (0.0000, 0.0000, 0.0000), K at (0.1291, 0.7139, 0.3905), Be at (0.0000, 0.5000, 0.7500), Cl at (0.0125, 0.6898, 0.6555) and Cl at (0.1126, 0.7136, 0.1095).

For the formation energy from raw total energies, the calculation gives -1593 meV per atom. The spin magnetization is 2.50 μB per cell. The total energy comes out at -3.306 eV/atom.

---

# 2
The following is a PBE calculation of a relaxed structure of Ag4SeBrCl2, from the Alexandria database.

The structure belongs to space group Imma (No. 74); the cell edges are 7.4367, 7.7496 and 13.3230 Å and the angles 90.00°, 90.00° and 90.00°. The distinct sites, in fractional coordinates, are Ag at (0.0000, 0.0009, 0.2428), Ag at (0.2377, 0.2500, 0.5462), Se at (0.2500, 0.2500, 0.7500), Br at (0.0000, 0.0000, 0.0000), Cl at (0.0000, 0.0000, 0.5000) and Cl at (0.2500, 0.2500, 0.2500).

For the formation energy from raw total energies, the calculation gives -267 meV per atom. The spin magnetization is 0.00 μB per cell. The total energy comes out at -2.799 eV/atom.